(1)
A plane-wave DFT calculation with GGA-PBEsol was carried out for a geometry-optimized POsBr structure.

abc: 3.6088 3.6088 5.6277
angles: 90.00 90.00 120.00
Space group P3m1 (No. 156)
Asymmetric unit:
P 0.0000 0.0000 0.0000 x1
Os 0.3333 0.6667 0.1410 x1
Br 0.6667 0.3333 0.4558 x1

Calculated values
ΔE_f (raw) = 0.05 eV per atom
excess energy over the best structure of this formula in the dataset = 0.0 meV/atom



(2)
A plane-wave DFT calculation with GGA-PBEsol was carried out for a geometry-optimized Os2Pb2Br structure.

abc: 5.330 5.330 8.067
angles: 90.00 90.00 90.00
Space group I4/mmm (No. 139)
Asymmetric unit:
Os 0.000 0.000 0.139 x4
Pb 0.000 0.500 0.250 x4
Br 0.000 0.000 0.500 x2

Calculated values
ΔE_f (raw) = 0.83 eV per atom



(3)
A plane-wave DFT calculation with GGA-PBEsol was carried out for a geometry-optimized OsPbBr2 structure.

abc: 4.875 3.277 5.769
angles: 90.00 113.03 90.00
Space group P2/m (No. 10)
Asymmetric unit:
Os 0.000 0.000 0.000 x1
Pb 0.000 0.500 0.500 x1
Br 0.500 0.000 0.500 x1
Br 0.500 0.500 0.000 x1

Calculated values
ΔE_f (raw) = 0.86 eV per atom
excess energy over the best structure of this formula in the dataset = 0.0 meV/atom



(4)
A plane-wave DFT calculation with GGA-PBEsol was carried out for a geometry-optimized OsPbBr2 structure.

abc: 4.916 4.916 3.416
angles: 90.00 90.00 90.00
Space group P4/mmm (No. 123)
Asymmetric unit:
Os 0.000 0.000 0.000 x1
Pb 0.500 0.500 0.000 x1
Br 0.000 0.500 0.500 x2

Calculated values
ΔE_f (raw) = 0.99 eV per atom
excess energy over the best structure of this formula in the dataset = 129.0 meV/atom



(5)
A plane-wave DFT calculation with GGA-PBEsol was carried out for a geometry-optimized Pr3OsBr3 structure.

abc: 11.923 11.923 11.923
angles: 90.00 90.00 90.00
Space group I4_132 (No. 214)
Asymmetric unit:
Pr 0.111 0.361 0.125 x24
Os 0.125 0.125 0.125 x8
Br 0.118 0.132 0.625 x24

Calculated values
ΔE_f (raw) = -1.15 eV per atom



(6)
A plane-wave DFT calculation with GGA-PBEsol was carried out for a geometry-optimized Os2PtBr structure.

abc: 2.856 2.856 7.520
angles: 90.00 90.00 90.00
Space group P4/mmm (No. 123)
Asymmetric unit:
Os 0.000 0.000 0.238 x2
Pt 0.500 0.500 0.000 x1
Br 0.500 0.500 0.500 x1

Calculated values
ΔE_f (raw) = 1.07 eV per atom



(7)
A plane-wave DFT calculation with GGA-PBEsol was carried out for a geometry-optimized OsPtBr structure.

abc: 2.9440 2.9440 6.5193
angles: 90.00 90.00 120.00
Space group P3m1 (No. 156)
Asymmetric unit:
Os 0.0000 0.0000 0.0000 x1
Pt 0.3333 0.6667 0.6885 x1
Br 0.6667 0.3333 0.3082 x1

Calculated values
ΔE_f (raw) = 0.81 eV per atom
excess energy over the best structure of this formula in the dataset = 0.0 meV/atom



(8)
A plane-wave DFT calculation with GGA-PBEsol was carried out for a geometry-optimized OsPtBr2 structure.

abc: 2.857 5.373 9.868
angles: 90.00 90.00 90.00
Space group Cmm2 (No. 35)
Asymmetric unit:
Os 0.000 0.000 0.000 x2
Pt 0.000 0.500 0.220 x2
Br 0.000 0.000 0.457 x2
Br 0.000 0.500 0.792 x2

Calculated values
ΔE_f (raw) = 0.69 eV per atom



(9)
A plane-wave DFT calculation with GGA-PBEsol was carried out for a geometry-optimized OsPtBr structure.

abc: 6.061 6.061 6.061
angles: 90.00 90.00 90.00
Space group F-43m (No. 216)
Asymmetric unit:
Os 0.000 0.000 0.000 x4
Pt 0.250 0.250 0.250 x4
Br 0.250 0.250 0.750 x4

Calculated values
ΔE_f (raw) = 1.10 eV per atom
excess energy over the best structure of this formula in the dataset = 295.8 meV/atom



(10)
A plane-wave DFT calculation with GGA-PBEsol was carried out for a geometry-optimized SnOs2PtBr structure.

abc: 4.470 4.470 5.208
angles: 90.00 90.00 90.00
Space group P4/mmm (No. 123)
Asymmetric unit:
Sn 0.000 0.000 0.000 x1
Os 0.000 0.500 0.500 x2
Pt 0.500 0.500 0.000 x1
Br 0.000 0.000 0.500 x1

Calculated values
ΔE_f (raw) = 2.24 eV per atom



(11)
A plane-wave DFT calculation with GGA-PBEsol was carried out for a geometry-optimized Rb3Os2Br9 structure.

abc: 7.3593 7.3593 17.9912
angles: 90.00 90.00 120.00
Space group P6_3/mmc (No. 194)
Asymmetric unit:
Rb 0.0000 0.0000 0.2500 x2
Rb 0.3333 0.6667 0.0643 x4
Os 0.3333 0.6667 0.6753 x4
Br 0.9999 0.5000 0.2500 x6
Br 0.1749 0.3498 0.5944 x12

Calculated values
ΔE_f (raw) = -0.80 eV per atom



(12)
A plane-wave DFT calculation with GGA-PBEsol was carried out for a geometry-optimized ReOsBr2 structure.

abc: 3.059 3.019 8.608
angles: 90.00 90.12 90.00
Space group Pm (No. 6)
Asymmetric unit:
Re 0.000 0.000 0.000 x1
Os 0.499 0.500 0.832 x1
Br 0.002 0.500 0.235 x1
Br 0.498 0.000 0.590 x1

Calculated values
ΔE_f (raw) = 0.30 eV per atom
excess energy over the best structure of this formula in the dataset = 0.0 meV/atom



(13)
A plane-wave DFT calculation with GGA-PBEsol was carried out for a geometry-optimized ReOsBr2 structure.

abc: 3.012 4.456 5.030
angles: 90.00 93.12 90.00
Space group P2/m (No. 10)
Asymmetric unit:
Re 0.000 0.000 0.000 x1
Os 0.500 0.000 0.500 x1
Br 0.239 0.500 0.251 x2

Calculated values
ΔE_f (raw) = 1.46 eV per atom
excess energy over the best structure of this formula in the dataset = 1157.1 meV/atom



(14)
A plane-wave DFT calculation with GGA-PBEsol was carried out for a geometry-optimized ReOs2Br structure.

abc: 2.786 4.725 9.796
angles: 90.00 90.00 90.00
Space group Cmmm (No. 65)
Asymmetric unit:
Re 0.000 0.000 0.000 x2
Os 0.000 0.500 0.224 x4
Br 0.000 0.000 0.500 x2

Calculated values
ΔE_f (raw) = 0.98 eV per atom
excess energy over the best structure of this formula in the dataset = 0.0 meV/atom



(15)
A plane-wave DFT calculation with GGA-PBEsol was carried out for a geometry-optimized ReOs2Br structure.

abc: 9.845 2.828 4.424
angles: 90.00 93.07 90.00
Space group Cm (No. 8)
Asymmetric unit:
Re 0.000 0.000 0.000 x2
Os 0.062 0.500 0.540 x2
Os 0.286 0.000 0.763 x2
Br 0.280 0.500 0.271 x2

Calculated values
ΔE_f (raw) = 0.99 eV per atom
excess energy over the best structure of this formula in the dataset = 3.4 meV/atom



(16)
A plane-wave DFT calculation with GGA-PBEsol was carried out for a geometry-optimized ReOs2Br structure.

abc: 2.866 4.538 9.111
angles: 90.00 90.00 90.00
Space group Imm2 (No. 44)
Asymmetric unit:
Re 0.000 0.000 0.000 x2
Os 0.000 0.000 0.528 x2
Os 0.000 0.500 0.759 x2
Br 0.000 0.500 0.266 x2

Calculated values
ΔE_f (raw) = 1.17 eV per atom
excess energy over the best structure of this formula in the dataset = 186.5 meV/atom



(17)
A plane-wave DFT calculation with GGA-PBEsol was carried out for a geometry-optimized ReOs2Br structure.

abc: 2.762 4.793 9.621
angles: 90.00 90.00 90.00
Space group Cmm2 (No. 35)
Asymmetric unit:
Re 0.000 0.000 0.000 x2
Os 0.000 0.000 0.540 x2
Os 0.000 0.500 0.771 x2
Br 0.000 0.500 0.271 x2

Calculated values
ΔE_f (raw) = 1.08 eV per atom
excess energy over the best structure of this formula in the dataset = 91.6 meV/atom



(18)
A plane-wave DFT calculation with GGA-PBEsol was carried out for a geometry-optimized Os3RhBr structure.

abc: 4.442 4.442 4.442
angles: 90.00 90.00 90.00
Space group Pm-3m (No. 221)
Asymmetric unit:
Os 0.000 0.000 0.500 x3
Rh 0.500 0.500 0.500 x1
Br 0.000 0.000 0.000 x1

Calculated values
ΔE_f (raw) = 2.59 eV per atom



(19)
A plane-wave DFT calculation with GGA-PBEsol was carried out for a geometry-optimized OsRhBr2 structure.

abc: 6.353 6.353 6.353
angles: 90.00 90.00 90.00
Space group Fm-3m (No. 225)
Asymmetric unit:
Os 0.000 0.000 0.000 x4
Rh 0.000 0.000 0.500 x4
Br 0.250 0.250 0.250 x8

Calculated values
ΔE_f (raw) = 1.20 eV per atom
excess energy over the best structure of this formula in the dataset = 126.0 meV/atom



(20)
A plane-wave DFT calculation with GGA-PBEsol was carried out for a geometry-optimized OsRhBr2 structure.

abc: 2.887 4.326 5.436
angles: 90.00 90.00 90.00
Space group Pmmm (No. 47)
Asymmetric unit:
Os 0.000 0.000 0.000 x1
Rh 0.500 0.000 0.500 x1
Br 0.000 0.500 0.500 x1
Br 0.500 0.500 0.000 x1

Calculated values
ΔE_f (raw) = 1.08 eV per atom
excess energy over the best structure of this formula in the dataset = 0.0 meV/atom



(21)
A plane-wave DFT calculation with GGA-PBEsol was carried out for a geometry-optimized OsRhBr4 structure.

abc: 8.117 8.117 8.117
angles: 90.00 90.00 90.00
Space group F-43m (No. 216)
Asymmetric unit:
Os 0.000 0.000 0.000 x4
Rh 0.250 0.250 0.250 x4
Br 0.125 0.125 0.625 x16

Calculated values
ΔE_f (raw) = 2.04 eV per atom



(22)
A plane-wave DFT calculation with GGA-PBEsol was carried out for a geometry-optimized OsRuBr structure.

abc: 5.761 5.761 5.761
angles: 90.00 90.00 90.00
Space group F-43m (No. 216)
Asymmetric unit:
Os 0.000 0.000 0.000 x4
Ru 0.000 0.000 0.500 x4
Br 0.250 0.250 0.750 x4

Calculated values
ΔE_f (raw) = 1.60 eV per atom



(23)
A plane-wave DFT calculation with GGA-PBEsol was carried out for a geometry-optimized OsS3Br structure.

abc: 4.580 4.580 4.580
angles: 90.00 90.00 90.00
Space group Pm-3m (No. 221)
Asymmetric unit:
Os 0.000 0.000 0.000 x1
S 0.000 0.000 0.500 x3
Br 0.500 0.500 0.500 x1

Calculated values
ΔE_f (raw) = 0.46 eV per atom
excess energy over the best structure of this formula in the dataset = 0.0 meV/atom



(24)
A plane-wave DFT calculation with GGA-PBEsol was carried out for a geometry-optimized OsSBr2 structure.

abc: 2.8627 2.8627 33.2626
angles: 90.00 90.00 120.00
Space group R-3m (No. 166, hexagonal axes)
Asymmetric unit:
Os 0.0000 0.0000 0.0000 x3
S 0.0000 0.0000 0.5000 x3
Br 0.0000 0.0000 0.0710 x6

Calculated values
ΔE_f (raw) = 0.75 eV per atom



(25)
A plane-wave DFT calculation with GGA-PBEsol was carried out for a geometry-optimized OsSBr3 structure.

abc: 4.930 4.930 4.930
angles: 90.00 90.00 90.00
Space group Pm-3m (No. 221)
Asymmetric unit:
Os 0.000 0.000 0.000 x1
S 0.500 0.500 0.500 x1
Br 0.000 0.000 0.500 x3

Calculated values
ΔE_f (raw) = 0.83 eV per atom



(26)
A plane-wave DFT calculation with GGA-PBEsol was carried out for a geometry-optimized Sb2OsBr structure.

abc: 6.919 3.976 8.345
angles: 90.00 105.73 90.00
Space group C2/m (No. 12)
Asymmetric unit:
Sb 0.116 0.000 0.341 x4
Os 0.000 0.500 0.500 x2
Br 0.000 0.000 0.000 x2

Calculated values
ΔE_f (raw) = 0.10 eV per atom
excess energy over the best structure of this formula in the dataset = 0.0 meV/atom



(27)
A plane-wave DFT calculation with GGA-PBEsol was carried out for a geometry-optimized Sb2OsBr structure.

abc: 3.3335 3.3335 27.4877
angles: 90.00 90.00 120.00
Space group R3m (No. 160, hexagonal axes)
Asymmetric unit:
Sb 0.0000 0.0000 0.0000 x3
Sb 0.0000 0.0000 0.2342 x3
Os 0.0000 0.0000 0.5033 x3
Br 0.0000 0.0000 0.7651 x3

Calculated values
ΔE_f (raw) = 0.50 eV per atom
excess energy over the best structure of this formula in the dataset = 398.0 meV/atom



(28)
A plane-wave DFT calculation with GGA-PBEsol was carried out for a geometry-optimized SbOsBr structure.

abc: 3.2259 3.2259 7.5750
angles: 90.00 90.00 120.00
Space group P3m1 (No. 156)
Asymmetric unit:
Sb 0.0000 0.0000 0.0000 x1
Os 0.6667 0.3333 0.2492 x1
Br 0.3333 0.6667 0.5133 x1

Calculated values
ΔE_f (raw) = 0.56 eV per atom